(1)
The following is a GGA-PBE calculation of a relaxed BaLa2AgSe4 crystal, from the Alexandria database.

Computed properties:
Raw total energy   -84.01 eV per cell
Space group   Cmcm, No. 63
Size of the total moment   0.0 μB per formula unit

Unit cell a=7.6086 b=7.6086 c=14.9812 alpha=90.00 beta=90.00 gamma=146.67
With the nearest neighbours (Å) after each atom.
Fractional positions:
1 Ba 0.1230 0.8770 0.7500  6 Se 3.29-3.36
2 Ba 0.8770 0.1230 0.2500  6 Se 3.29-3.36
3 La 0.3729 0.6271 0.5605  6 Se 3.00-3.13
4 La 0.3729 0.6271 0.9395  6 Se 3.00-3.13
5 La 0.6271 0.3729 0.0605  6 Se 3.00-3.13
6 La 0.6271 0.3729 0.4395  6 Se 3.00-3.13
7 Ag 0.1493 0.8507 0.2500  4 Se 2.65-2.68
8 Ag 0.8507 0.1493 0.7500  4 Se 2.65-2.68
9 Se 0.0000 0.0000 0.0000  4 La 3.00
10 Se 0.0000 0.0000 0.5000  4 La 3.00
11 Se 0.2701 0.7299 0.1147  1 Ag 2.68
12 Se 0.2701 0.7299 0.3853  1 Ag 2.68
13 Se 0.4538 0.5462 0.7500  2 Ag 2.65
14 Se 0.5462 0.4538 0.2500  2 Ag 2.65
15 Se 0.7299 0.2701 0.6147  1 Ag 2.68
16 Se 0.7299 0.2701 0.8853  1 Ag 2.68

---

(2)
The following is a GGA-PBE calculation of a relaxed BaLa2Ag2Sn2 crystal, from the Alexandria database.

Computed properties:
Space group   R-3m, No. 166
Size of the total moment   0.0 μB per formula unit
ΔE_f   -48.8 kJ per mole of atoms

Unit cell a=10.3048 b=10.3048 c=10.3048 alpha=27.94 beta=27.94 gamma=27.94
With the nearest neighbours (Å) after each atom.
Fractional positions:
1 Ba 0.0000 0.0000 0.0000  6 Sn 3.68
2 La 0.1401 0.1401 0.1401  3 Ag 3.10, 3 La 3.28, 4 Sn 3.42-3.43
3 La 0.8599 0.8599 0.8599  3 Ag 3.10, 3 La 3.28, 4 Sn 3.42-3.43
4 Ag 0.4344 0.4344 0.4344  3 Sn 2.96, 3 La 3.10
5 Ag 0.5656 0.5656 0.5656  3 Sn 2.96, 3 La 3.10
6 Sn 0.2556 0.2556 0.2556  3 Ag 2.96
7 Sn 0.7444 0.7444 0.7444  3 Ag 2.96

---

(3)
The following is a GGA-PBE calculation of a relaxed BaLaAgSn crystal, from the Alexandria database.

Computed properties:
Space group   F-43m, No. 216
Size of the total moment   0.0 μB per formula unit
ΔE_f   -44.2 kJ per mole of atoms

Unit cell a=8.0744 b=8.0744 c=8.0744 alpha=90.00 beta=90.00 gamma=90.00
With the nearest neighbours (Å) after each atom.
Fractional positions:
1 Ba 0.0000 0.0000 0.0000  4 Sn 3.50, 4 Ag 3.50
2 Ba 0.0000 0.5000 0.5000  4 Sn 3.50, 4 Ag 3.50
3 Ba 0.5000 0.0000 0.5000  4 Sn 3.50, 4 Ag 3.50
4 Ba 0.5000 0.5000 0.0000  4 Sn 3.50, 4 Ag 3.50
5 La 0.0000 0.0000 0.5000  4 Sn 3.50, 4 Ag 3.50
6 La 0.0000 0.5000 0.0000  4 Sn 3.50, 4 Ag 3.50
7 La 0.5000 0.0000 0.0000  4 Sn 3.50, 4 Ag 3.50
8 La 0.5000 0.5000 0.5000  4 Sn 3.50, 4 Ag 3.50
9 Ag 0.2500 0.2500 0.2500  4 La 3.50, 4 Ba 3.50
10 Ag 0.2500 0.7500 0.7500  4 La 3.50, 4 Ba 3.50
11 Ag 0.7500 0.2500 0.7500  4 La 3.50, 4 Ba 3.50
12 Ag 0.7500 0.7500 0.2500  4 La 3.50, 4 Ba 3.50
13 Sn 0.2500 0.2500 0.7500  4 Ba 3.50, 4 La 3.50
14 Sn 0.2500 0.7500 0.2500  4 Ba 3.50, 4 La 3.50
15 Sn 0.7500 0.2500 0.2500  4 Ba 3.50, 4 La 3.50
16 Sn 0.7500 0.7500 0.7500  4 Ba 3.50, 4 La 3.50

---

(4)
The following is a GGA-PBE calculation of a relaxed BaLaAgTe3 crystal, from the Alexandria database.

Computed properties:
Raw total energy   -54.13 eV per cell
Space group   P2_1/m, No. 11
Size of the total moment   0.0 μB per formula unit

Unit cell a=9.5743 b=4.6268 c=10.2161 alpha=90.00 beta=103.79 gamma=90.00
With the nearest neighbours (Å) after each atom.
Fractional positions:
1 Ba 0.1888 0.2500 0.2422  7 Te 3.55-3.71, 1 Ag 3.86
2 Ba 0.8112 0.7500 0.7578  7 Te 3.55-3.71, 1 Ag 3.86
3 La 0.3241 0.7500 0.8349  6 Te 3.19-3.28
4 La 0.6759 0.2500 0.1651  6 Te 3.19-3.28
5 Ag 0.0821 0.2500 0.5837  4 Te 2.88-2.95, 2 Ag 3.08
6 Ag 0.9179 0.7500 0.4163  4 Te 2.88-2.95, 2 Ag 3.08
7 Te 0.0997 0.2500 0.8688  1 Ag 2.88
8 Te 0.2335 0.7500 0.5136  3 Ag 2.91-2.95, 1 La 3.19
9 Te 0.4388 0.7500 0.1639  3 La 3.24-3.28, 2 Ba 3.55
10 Te 0.5612 0.2500 0.8361  3 La 3.24-3.28, 2 Ba 3.55
11 Te 0.7665 0.2500 0.4864  3 Ag 2.91-2.95, 1 La 3.19
12 Te 0.9003 0.7500 0.1312  1 Ag 2.88

---

(5)
The following is a GGA-PBE calculation of a relaxed BaLaTlAg crystal, from the Alexandria database.

Computed properties:
Space group   F-43m, No. 216
Size of the total moment   0.0 μB per formula unit
ΔE_f   -24.9 kJ per mole of atoms

Unit cell a=8.0983 b=8.0983 c=8.0983 alpha=90.00 beta=90.00 gamma=90.00
With the nearest neighbours (Å) after each atom.
Fractional positions:
1 Ba 0.0000 0.0000 0.0000  4 Tl 3.51, 4 Ag 3.51
2 Ba 0.0000 0.5000 0.5000  4 Tl 3.51, 4 Ag 3.51
3 Ba 0.5000 0.0000 0.5000  4 Tl 3.51, 4 Ag 3.51
4 Ba 0.5000 0.5000 0.0000  4 Tl 3.51, 4 Ag 3.51
5 La 0.0000 0.0000 0.5000  4 Tl 3.51, 4 Ag 3.51
6 La 0.0000 0.5000 0.0000  4 Tl 3.51, 4 Ag 3.51
7 La 0.5000 0.0000 0.0000  4 Tl 3.51, 4 Ag 3.51
8 La 0.5000 0.5000 0.5000  4 Tl 3.51, 4 Ag 3.51
9 Tl 0.2500 0.2500 0.2500  4 Ba 3.51, 4 La 3.51
10 Tl 0.2500 0.7500 0.7500  4 Ba 3.51, 4 La 3.51
11 Tl 0.7500 0.2500 0.7500  4 Ba 3.51, 4 La 3.51
12 Tl 0.7500 0.7500 0.2500  4 Ba 3.51, 4 La 3.51
13 Ag 0.2500 0.2500 0.7500  4 Ba 3.51, 4 La 3.51
14 Ag 0.2500 0.7500 0.2500  4 Ba 3.51, 4 La 3.51
15 Ag 0.7500 0.2500 0.2500  4 Ba 3.51, 4 La 3.51
16 Ag 0.7500 0.7500 0.7500  4 Ba 3.51, 4 La 3.51

---

(6)
The following is a GGA-PBE calculation of a relaxed BaLaY2Ag crystal, from the Alexandria database.

Computed properties:
Space group   P4/mmm, No. 123
Size of the total moment   0.0 μB per formula unit
ΔE_f   53.7 kJ per mole of atoms

Unit cell a=5.8649 b=5.8649 c=5.7258 alpha=90.00 beta=90.00 gamma=90.00
With the nearest neighbours (Å) after each atom.
Fractional positions:
1 Ba 0.0000 0.0000 0.0000  8 Y 4.10, 4 Ag 4.15
2 La 0.5000 0.5000 0.5000  2 Ag 2.86, 4 Y 2.93
3 Y 0.0000 0.5000 0.5000  2 La 2.93
4 Y 0.5000 0.0000 0.5000  2 La 2.93
5 Ag 0.5000 0.5000 0.0000  2 La 2.86